No. 1
A plane-wave DFT calculation with PBE was carried out for a relaxed structure of TbReAgO6.

Lattice parameters (Å, degrees): 5.966 9.151 4.921 90.00 103.11 90.00
Space group C2 (No. 5)
Symmetry-distinct sites (fractional):
Tb 0.000 0.000 0.000 [2 per cell]
Re 0.000 0.346 0.000 [2 per cell]
Ag 0.000 0.674 0.500 [2 per cell]
O 0.079 0.205 0.777 [4 per cell]
O 0.121 0.500 0.796 [4 per cell]
O 0.190 0.853 0.763 [4 per cell]

Summary:
V   131 Å³/f.u.
Raw total energy   -129.5 eV for the cell shown

No. 2
A plane-wave DFT calculation with PBE was carried out for a relaxed structure of ReAgTeO6.

Lattice parameters (Å, degrees): 5.4312 5.4312 10.0189 90.00 90.00 120.00
Space group P-31c (No. 163)
Symmetry-distinct sites (fractional):
Re 0.3333 0.6667 0.2500 [2 per cell]
Ag 0.0000 0.0000 0.0000 [2 per cell]
Te 0.3333 0.6667 0.7500 [2 per cell]
O 0.0263 0.3878 0.1421 [12 per cell]

Summary:
V   128 Å³/f.u.
Raw total energy   -114.9 eV for the cell shown

No. 3
A plane-wave DFT calculation with PBE was carried out for a relaxed structure of TiReAgO6.

Lattice parameters (Å, degrees): 5.087 5.174 5.174 119.98 90.07 90.03
Space group P1 (No. 1)
Symmetry-distinct sites (fractional):
Ti 0.000 0.000 0.000 [1 per cell]
Re 0.909 0.667 0.333 [1 per cell]
Ag 0.432 0.333 0.667 [1 per cell]
O 0.157 0.349 0.294 [1 per cell]
O 0.157 0.946 0.652 [1 per cell]
O 0.158 0.706 0.055 [1 per cell]
O 0.735 0.341 0.043 [1 per cell]
O 0.735 0.701 0.658 [1 per cell]
O 0.735 0.956 0.297 [1 per cell]

Summary:
V   118 Å³/f.u.
Raw total energy   -68.6 eV for the cell shown

No. 4
A plane-wave DFT calculation with PBE was carried out for a relaxed structure of TlReAg2O4.

Lattice parameters (Å, degrees): 7.302 9.475 5.907 90.00 128.06 90.00
Space group Cm (No. 8)
Symmetry-distinct sites (fractional):
Tl 0.000 0.000 0.000 [2 per cell]
Re 0.000 0.500 0.000 [2 per cell]
Ag 0.499 0.250 0.499 [4 per cell]
O 0.011 0.500 0.310 [2 per cell]
O 0.143 0.348 0.999 [4 per cell]
O 0.202 0.000 0.691 [2 per cell]

Summary:
V   161 Å³/f.u.
Raw total energy   -92.0 eV for the cell shown

No. 5
A plane-wave DFT calculation with PBE was carried out for a relaxed structure of TlRe2AgO.

Lattice parameters (Å, degrees): 4.005 4.005 5.308 90.00 90.00 90.00
Space group P4/mmm (No. 123)
Symmetry-distinct sites (fractional):
Tl 0.000 0.000 0.000 [1 per cell]
Re 0.000 0.500 0.500 [2 per cell]
Ag 0.500 0.500 0.000 [1 per cell]
O 0.500 0.500 0.500 [1 per cell]

Summary:
V   85 Å³/f.u.
Raw total energy   -31.4 eV for the cell shown

No. 6
A plane-wave DFT calculation with PBE was carried out for a relaxed structure of Tl3Re2AgO8.

Lattice parameters (Å, degrees): 5.8657 5.8657 10.0074 90.00 90.00 120.00
Space group P-3m1 (No. 164)
Symmetry-distinct sites (fractional):
Tl 0.0000 0.0000 0.0000 [1 per cell]
Tl 0.3333 0.6667 0.5441 [2 per cell]
Re 0.3333 0.6667 0.1752 [2 per cell]
Ag 0.0000 0.0000 0.5000 [1 per cell]
O 0.1717 0.3434 0.2376 [6 per cell]
O 0.3333 0.6667 0.9992 [2 per cell]

Summary:
V   298 Å³/f.u.
Raw total energy   -90.5 eV for the cell shown

No. 7
A plane-wave DFT calculation with PBE was carried out for a relaxed structure of Tl3Re2AgO9.

Lattice parameters (Å, degrees): 5.8302 5.8302 7.6539 90.00 90.00 120.00
Space group P-3m1 (No. 164)
Symmetry-distinct sites (fractional):
Tl 0.0000 0.0000 0.0000 [1 per cell]
Tl 0.3333 0.6667 0.6746 [2 per cell]
Re 0.3333 0.6667 0.1601 [2 per cell]
Ag 0.0000 0.0000 0.5000 [1 per cell]
O 0.0000 0.5000 0.0000 [3 per cell]
O 0.1808 0.3616 0.2830 [6 per cell]

Summary:
V   225 Å³/f.u.
Raw total energy   -96.4 eV for the cell shown

No. 8
A plane-wave DFT calculation with PBE was carried out for a relaxed structure of TlReAgO5.

Lattice parameters (Å, degrees): 9.174 9.736 8.407 90.00 112.46 90.00
Space group C2/c (No. 15)
Symmetry-distinct sites (fractional):
Tl 0.000 0.000 0.000 [4 per cell]
Re 0.000 0.393 0.250 [4 per cell]
Ag 0.000 0.280 0.750 [4 per cell]
O 0.000 0.057 0.750 [4 per cell]
O 0.011 0.289 0.084 [8 per cell]
O 0.169 0.498 0.333 [8 per cell]

Summary:
V   173 Å³/f.u.
Raw total energy   -203.0 eV for the cell shown

No. 9
A plane-wave DFT calculation with PBE was carried out for a relaxed structure of TmRe2AgO8.

Lattice parameters (Å, degrees): 6.1784 6.1784 6.7201 90.00 90.00 120.00
Space group P-3m1 (No. 164)
Symmetry-distinct sites (fractional):
Tm 0.0000 0.0000 0.0000 [1 per cell]
Re 0.3333 0.6667 0.2610 [2 per cell]
Ag 0.0000 0.0000 0.5000 [1 per cell]
O 0.1731 0.3462 0.1823 [6 per cell]
O 0.3333 0.6667 0.5211 [2 per cell]

Summary:
V   222 Å³/f.u.
Raw total energy   -92.4 eV for the cell shown

No. 10
A plane-wave DFT calculation with PBE was carried out for a relaxed structure of AgRh2O.

Lattice parameters (Å, degrees): 4.765 4.765 12.510 90.00 90.00 90.00
Space group I-42d (No. 122)
Symmetry-distinct sites (fractional):
Ag 0.000 0.000 0.000 [4 per cell]
Rh 0.081 0.250 0.625 [8 per cell]
O 0.000 0.000 0.500 [4 per cell]

Summary:
V   71 Å³/f.u.
Raw total energy   -84.9 eV for the cell shown

No. 11
A plane-wave DFT calculation with PBE was carried out for a relaxed structure of AgRhO2.

Lattice parameters (Å, degrees): 5.656 5.656 5.656 90.00 90.00 90.00
Space group Fm-3m (No. 225)
Symmetry-distinct sites (fractional):
Ag 0.000 0.000 0.000 [4 per cell]
Rh 0.000 0.000 0.500 [4 per cell]
O 0.250 0.250 0.250 [8 per cell]

Summary:
V   45 Å³/f.u.
Raw total energy   -75.0 eV for the cell shown

No. 12
A plane-wave DFT calculation with PBE was carried out for a relaxed structure of AgRh4O8.

Lattice parameters (Å, degrees): 8.868 8.868 8.868 90.00 90.00 90.00
Space group F-43m (No. 216)
Symmetry-distinct sites (fractional):
Ag 0.000 0.000 0.000 [4 per cell]
Rh 0.124 0.124 0.376 [16 per cell]
O 0.103 0.103 0.603 [16 per cell]
O 0.147 0.147 0.147 [16 per cell]

Summary:
V   174 Å³/f.u.
Raw total energy   -317.5 eV for the cell shown